(1)
{
  "formula": "SiHRu2",
  "functional": "PBE",
  "state": "relaxed",
  "cell": [[2.8195, 0.0000, 0.0000], [0.0000, 2.8195, 0.0000], [0.0000, 0.0000, 5.5291]],
  "species": ["Si", "H", "Ru", "Ru"],
  "fractional_positions": [[0.0000, 0.0000, 0.0000], [0.0000, 0.0000, 0.5000], [0.5000, 0.5000, 0.2684], [0.5000, 0.5000, 0.7316]],
  "relative_energy_ev_per_atom": 0.209,
  "space_group": "P4/mmm"
}

(2)
{
  "formula": "SiH2Ru",
  "functional": "PBE",
  "state": "relaxed",
  "cell": [[-1.8172, 1.8172, 5.4428], [1.8172, -1.8172, 5.4428], [1.8172, 1.8172, -5.4428]],
  "species": ["Si", "Si", "H", "H", "H", "H", "Ru", "Ru"],
  "fractional_positions": [[0.0000, 0.0000, 0.0000], [0.7500, 0.2500, 0.5000], [0.1707, 0.6250, 0.0457], [0.3750, 0.4207, 0.5457], [0.5793, 0.1250, 0.9543], [0.8750, 0.8293, 0.4543], [0.2500, 0.7500, 0.5000], [0.5000, 0.5000, 0.0000]],
  "relative_energy_ev_per_atom": 0.000,
  "space_group": "I-42d"
}

(3)
{
  "formula": "SiH3Ru",
  "functional": "PBE",
  "state": "relaxed",
  "cell": [[3.4907, 0.0000, 0.0000], [0.0000, 3.4907, 0.0000], [0.0000, 0.0000, 3.4907]],
  "species": ["Si", "H", "H", "H", "Ru"],
  "fractional_positions": [[0.0000, 0.0000, 0.0000], [0.0000, 0.5000, 0.5000], [0.5000, 0.0000, 0.5000], [0.5000, 0.5000, 0.0000], [0.5000, 0.5000, 0.5000]],
  "relative_energy_ev_per_atom": 0.000,
  "space_group": "Pm-3m"
}

(4)
{
  "formula": "Si2HRu",
  "functional": "PBE",
  "state": "relaxed",
  "cell": [[0.0000, 2.8638, 2.8638], [2.8638, 0.0000, 2.8638], [2.8638, 2.8638, 0.0000]],
  "species": ["Si", "Si", "H", "Ru"],
  "fractional_positions": [[0.2500, 0.2500, 0.2500], [0.7500, 0.7500, 0.7500], [0.0000, 0.0000, 0.0000], [0.5000, 0.5000, 0.5000]],
  "space_group": "Fm-3m"
}

no.,VASP energy (eV/atom),spin magnetization (Bohr magnetons per cell)
1,-6.703,0.00
2,-4.987,0.00
3,-4.527,0.00
4,-5.490,0.37